CaIn2Pb2 | Alexandria | PBE | relaxed; formation energy from the elements = -96 meV/atom; E above lowest polymorph = 127 meV per atom; symmetry = I4/mmm; Fermi-level density of states = 0.46 states/eV/atom
1.0
-0.682 4.580 0.997
-3.959 -1.103 2.355
1.506 0.985 7.756
Ca In Pb
1 2 2
direct
0.000 0.000 0.000
0.401 0.401 0.198
0.599 0.599 0.802
0.250 0.750 0.500
0.750 0.250 0.500

***

LiHgAu3 | Alexandria | PBE | relaxed; formation energy from the elements = -210 meV/atom; E above lowest polymorph = 0 meV per atom; symmetry = Pnma; Fermi-level density of states = 0.25 states/eV/atom
1.0
-3.509 -1.354 -1.901
1.958 -5.470 0.282
-6.465 -1.640 13.107
Au Hg Li
12 4 4
direct
0.250 0.136 0.546
0.250 0.627 0.364
0.750 0.373 0.636
0.250 0.127 0.136
0.750 0.899 0.245
0.750 0.399 0.255
0.750 0.864 0.454
0.250 0.636 0.954
0.250 0.601 0.745
0.750 0.873 0.864
0.750 0.364 0.046
0.250 0.101 0.755
0.250 0.135 0.350
0.750 0.365 0.850
0.250 0.635 0.150
0.750 0.865 0.650
0.250 0.125 0.948
0.250 0.625 0.552
0.750 0.375 0.448
0.750 0.875 0.052

***

AcTb2Y6Er3 | Alexandria | PBE | relaxed; formation energy from the elements = 34 meV/atom; symmetry = C2/m; Fermi-level density of states = 1.45 states/eV/atom
1.0
-2.244 -5.527 -1.760
4.898 2.446 -2.950
6.310 -4.295 9.100
Y Tb Er Ac
6 2 3 1
direct
0.086 0.422 0.255
0.422 0.086 0.255
0.750 0.750 0.256
0.578 0.914 0.745
0.250 0.250 0.744
0.914 0.578 0.745
0.333 0.667 0.000
0.667 0.333 0.000
0.167 0.833 0.500
0.500 0.500 0.500
0.833 0.167 0.500
0.000 0.000 0.000

***

LiCa4La3Te8 | Alexandria | PBE | relaxed; symmetry = R-3m; E_tot = -74.6 eV/cell; Fermi-level density of states = 0.32 states/eV/atom
1.0
9.037 0.000 0.000
0.000 9.075 0.021
-4.518 -4.514 6.393
Te Ca La Li
8 4 3 1
direct
0.753 0.759 0.506
0.243 0.248 0.995
0.753 0.248 0.995
0.247 0.752 0.005
0.753 0.248 0.505
0.247 0.752 0.495
0.247 0.241 0.494
0.757 0.752 0.005
0.000 0.000 0.000
0.500 0.000 0.000
0.500 0.000 0.500
0.000 0.000 0.500
0.000 0.500 0.500
0.500 0.500 0.500
0.500 0.500 0.000
0.000 0.500 0.000

***

PmAsH2Pd2 | Alexandria | PBE | relaxed; symmetry = P2_1/m; E_tot = -59.1 eV/cell; Fermi-level density of states = 0.38 states/eV/atom
1.0
5.593 0.000 0.000
0.000 5.654 0.392
0.000 -1.639 5.670
As Pm H Pd
2 2 4 4
direct
0.750 0.797 0.158
0.250 0.203 0.842
0.250 0.701 0.294
0.750 0.299 0.706
0.750 0.738 0.604
0.250 0.622 0.693
0.750 0.378 0.307
0.250 0.262 0.396
0.000 0.809 0.793
0.500 0.809 0.793
0.500 0.191 0.207
0.000 0.191 0.207

***

HoH3Rh | Alexandria | PBE | relaxed; symmetry = P2_1/c; E_tot = -98.6 eV/cell; Fermi-level density of states = 0.23 states/eV/atom
1.0
4.440 0.000 0.000
0.000 5.850 -0.943
0.000 -2.211 8.491
H Rh Ho
12 4 4
direct
0.459 0.985 0.877
0.959 0.015 0.623
0.541 0.015 0.123
0.239 0.645 0.587
0.485 0.354 0.633
0.739 0.355 0.913
0.041 0.985 0.377
0.515 0.646 0.367
0.015 0.354 0.133
0.761 0.355 0.413
0.985 0.646 0.867
0.261 0.645 0.087
0.739 0.173 0.017
0.761 0.173 0.517
0.239 0.827 0.483
0.261 0.827 0.983
0.735 0.714 0.667
0.235 0.286 0.833
0.265 0.286 0.333
0.765 0.714 0.167

***

K2PuMgF6 | Alexandria | PBE | relaxed; symmetry = P2_1/c; E_tot = -119.9 eV/cell; Fermi-level density of states = 1.24 states/eV/atom
1.0
-4.231 4.418 1.281
-3.856 -4.322 2.173
3.592 0.799 7.963
F K Pu Mg
12 4 2 2
direct
0.245 0.712 0.040
0.572 0.017 0.274
0.755 0.288 0.960
0.428 0.983 0.726
0.928 0.517 0.226
0.205 0.248 0.044
0.795 0.752 0.956
0.072 0.483 0.774
0.745 0.788 0.540
0.295 0.748 0.456
0.255 0.212 0.460
0.705 0.252 0.544
0.989 0.021 0.755
0.011 0.979 0.245
0.489 0.479 0.255
0.511 0.521 0.745
0.500 0.000 0.000
0.000 0.500 0.500
0.000 0.500 0.000
0.500 0.000 0.500

***

NiSn2Mo | Alexandria | PBE | relaxed; formation energy from the elements = 508 meV/atom; E above lowest polymorph = 220 meV per atom; symmetry = R-3m; Fermi-level density of states = 0.67 states/eV/atom
1.0
3.054 0.000 0.000
1.527 2.645 0.000
1.527 0.882 9.540
Mo Sn Ni
1 2 1
direct
0.000 0.000 0.000
0.902 0.902 0.293
0.098 0.098 0.707
0.500 0.500 0.500

***

Pr6Zn5Pt | Alexandria | PBE | relaxed; formation energy from the elements = -420 meV/atom; symmetry = Cmmm; Fermi-level density of states = 0.98 states/eV/atom
1.0
-1.710 -4.025 2.880
-3.127 -2.959 -5.993
5.793 -5.929 -0.095
Pr Zn Pt
6 5 1
direct
0.500 0.757 0.000
0.837 0.751 0.326
0.163 0.751 0.674
0.837 0.249 0.326
0.500 0.243 0.000
0.163 0.249 0.674
0.000 0.500 0.000
0.324 0.000 0.353
0.330 0.500 0.340
0.670 0.500 0.660
0.676 0.000 0.647
0.000 0.000 0.000

***

La2YAs3 | Alexandria | PBE | relaxed; formation energy from the elements = -1543 meV/atom; symmetry = I4/mmm; Fermi-level density of states = 0.13 states/eV/atom
1.0
4.197 0.000 -0.956
-0.217 4.192 -0.957
-0.022 -0.022 9.593
As La Y
3 2 1
direct
0.934 0.936 0.874
0.597 0.598 0.200
0.271 0.273 0.548
0.769 0.770 0.543
0.100 0.101 0.205
0.434 0.436 0.874

***

Which of these has the lowest Fermi-level density of states? La2YAs3